# 1
USi4Rh4, optimized geometry, DFT PBE; Fermi-level density of states = 18.84 states/eV/cell; formation energy (no corrections) = -0.6476 eV/atom; volume = 284.2 Å³ per cell
1.0
5.956 0.000 0.000
0.000 5.956 0.000
0.000 0.000 8.013
U Si Rh
2 8 8
Direct
0.250 0.750 0.250
0.750 0.250 0.750
0.048 0.250 0.075
0.250 0.048 0.575
0.250 0.452 0.575
0.452 0.250 0.075
0.548 0.750 0.925
0.750 0.548 0.425
0.750 0.952 0.425
0.952 0.750 0.925
0.016 0.250 0.375
0.250 0.016 0.875
0.250 0.484 0.875
0.484 0.250 0.375
0.516 0.750 0.625
0.750 0.516 0.125
0.750 0.984 0.125
0.984 0.750 0.625

# 2
USi2Rh4, optimized geometry, DFT PBE; Fermi-level density of states = 12.64 states/eV/cell; formation energy (no corrections) = -0.3675 eV/atom; volume = 258.3 Å³ per cell
1.0
3.893 0.000 0.000
0.000 3.893 0.000
0.000 0.000 17.041
U Si Rh
2 4 8
Direct
0.000 0.000 0.000
0.500 0.500 0.500
0.000 0.000 0.337
0.000 0.000 0.663
0.500 0.500 0.163
0.500 0.500 0.837
0.000 0.000 0.131
0.000 0.000 0.869
0.000 0.500 0.250
0.000 0.500 0.750
0.500 0.000 0.250
0.500 0.000 0.750
0.500 0.500 0.369
0.500 0.500 0.631

# 3
U2Si3Rh, optimized geometry, DFT PBE; excess energy over the best structure of this formula in the dataset = 0.000 eV per atom; Fermi-level density of states = 10.42 states/eV/cell; formation energy (no corrections) = -0.5035 eV/atom; volume = 109.7 Å³ per cell
1.0
3.715 0.000 0.000
0.000 4.164 0.000
0.000 0.000 7.094
U Si Rh
2 3 1
Direct
0.000 0.000 0.000
0.000 0.500 0.498
0.500 0.000 0.331
0.500 0.000 0.659
0.500 0.500 0.173
0.500 0.500 0.833